# KCeSiO5 | the Alexandria database | PBE | relaxed
data_KCeSiO5
_chemical_formula_sum 'K4 Ce4 Si4 O20'
_cell_length_a 7.3894
_cell_length_b 9.7742
_cell_length_c 8.0714
_cell_angle_alpha 90.00
_cell_angle_beta 114.14
_cell_angle_gamma 90.00
_symmetry_space_group_name_H-M 'C 1 2/c 1'
_symmetry_Int_Tables_number 15
loop_
_symmetry_equiv_pos_as_xyz
'x,y,z'
'-x,-y,-z'
'-x,y,-z+1/2'
'x,-y,z+1/2'
'x+1/2,y+1/2,z'
'-x+1/2,-y+1/2,-z'
'-x+1/2,y+1/2,-z+1/2'
'x+1/2,-y+1/2,z+1/2'
loop_
_atom_site_label
_atom_site_fract_x
_atom_site_fract_y
_atom_site_fract_z
_atom_site_occupancy
K1 0.0000 0.1664 0.2500 1
Ce1 0.0000 0.5000 0.0000 1
Si1 0.0000 0.1850 0.7500 1
O1 0.0000 0.4358 0.2500 1
O2 0.0783 0.2828 0.6256 1
O3 0.1785 0.0833 0.8831 1
# - DOS(E_F): 6.56 states/eV/f.u.
# - DFT total energy: -7.1997 eV per atom
# - Formation energy (no corrections): -2544 meV per atom

***

# SrLi2SbF | the Alexandria database | PBE | relaxed
data_SrLi2SbF
_chemical_formula_sum 'Sr1 Li2 Sb1 F1'
_cell_length_a 4.6386
_cell_length_b 4.6386
_cell_length_c 4.9145
_cell_angle_alpha 90.00
_cell_angle_beta 90.00
_cell_angle_gamma 90.00
_symmetry_space_group_name_H-M 'P 4/m m m'
_symmetry_Int_Tables_number 123
_symmetry_space_group_name_Hall '-P 4 2'
loop_
_atom_site_label
_atom_site_fract_x
_atom_site_fract_y
_atom_site_fract_z
_atom_site_occupancy
Sr1 0.0000 0.0000 0.0000 1
Li1 0.0000 0.5000 0.5000 1
Sb1 0.5000 0.5000 0.0000 1
F1 0.0000 0.0000 0.5000 1
# - DFT total energy: -3.8609 eV per atom
# - Formation energy (no corrections): -1560 meV per atom

***

# Cs4U3PbO12 | the Alexandria database | PBE | relaxed
data_Cs4U3PbO12
_chemical_formula_sum 'Cs8 U6 Pb2 O24'
_cell_length_a 8.9854
_cell_length_b 8.9854
_cell_length_c 8.9854
_cell_angle_alpha 90.00
_cell_angle_beta 90.00
_cell_angle_gamma 90.00
_symmetry_space_group_name_H-M 'I m -3 m'
_symmetry_Int_Tables_number 229
_symmetry_space_group_name_Hall '-I 4 2 3'
loop_
_atom_site_label
_atom_site_fract_x
_atom_site_fract_y
_atom_site_fract_z
_atom_site_occupancy
Cs1 0.2500 0.2500 0.2500 1
U1 0.0000 0.0000 0.5000 1
Pb1 0.0000 0.0000 0.0000 1
O1 0.0000 0.0000 0.2835 1
O2 0.0000 0.2500 0.5000 1
# - DOS(E_F): 0.00 states/eV/f.u.
# - DFT total energy: -7.6003 eV per atom
# - Formation energy (no corrections): -2576 meV per atom

***

# La9Tm2Tl | the Alexandria database | PBE | relaxed
data_La9Tm2Tl
_chemical_formula_sum 'La9 Tm2 Tl1'
_cell_length_a 5.1393
_cell_length_b 5.1393
_cell_length_c 15.5805
_cell_angle_alpha 90.00
_cell_angle_beta 90.00
_cell_angle_gamma 90.00
_symmetry_space_group_name_H-M 'P 4/m m m'
_symmetry_Int_Tables_number 123
_symmetry_space_group_name_Hall '-P 4 2'
loop_
_atom_site_label
_atom_site_fract_x
_atom_site_fract_y
_atom_site_fract_z
_atom_site_occupancy
La1 0.0000 0.0000 0.0000 1
La2 0.0000 0.0000 0.3342 1
La3 0.0000 0.5000 0.1640 1
La4 0.0000 0.5000 0.5000 1
Tm1 0.5000 0.5000 0.3323 1
Tl1 0.5000 0.5000 0.0000 1
# - DOS(E_F): 15.28 states/eV/f.u.
# - DFT formation energy: -0.07 eV/atom
# - DFT total energy: -4.7031 eV per atom

***

# TePd4I | the Alexandria database | PBE | relaxed
data_TePd4I
_chemical_formula_sum 'Te4 Pd16 I4'
_cell_length_a 7.1575
_cell_length_b 8.6188
_cell_length_c 8.3862
_cell_angle_alpha 90.00
_cell_angle_beta 90.00
_cell_angle_gamma 90.00
_symmetry_space_group_name_H-M 'C m c m'
_symmetry_Int_Tables_number 63
_symmetry_space_group_name_Hall '-C 2c 2'
loop_
_atom_site_label
_atom_site_fract_x
_atom_site_fract_y
_atom_site_fract_z
_atom_site_occupancy
Te1 0.0000 0.0157 0.2500 1
Pd1 0.0000 0.1912 0.5036 1
Pd2 0.2077 0.3173 0.2500 1
I1 0.0000 0.4138 0.7500 1
# - DOS(E_F): 3.17 states/eV/f.u.
# - DFT total energy: -4.2731 eV per atom
# - Formation energy (no corrections): -29 meV per atom

***

# InTe2Pt | the Alexandria database | PBE | relaxed
data_InTe2Pt
_chemical_formula_sum 'In3 Te6 Pt3'
_cell_length_a 4.1128
_cell_length_b 4.1128
_cell_length_c 21.6340
_cell_angle_alpha 90.00
_cell_angle_beta 90.00
_cell_angle_gamma 120.00
_symmetry_space_group_name_H-M 'R -3 m'
_symmetry_Int_Tables_number 166
_symmetry_space_group_name_Hall '-R 3 2"'
loop_
_atom_site_label
_atom_site_fract_x
_atom_site_fract_y
_atom_site_fract_z
_atom_site_occupancy
In1 0.0000 0.0000 0.0000 1
Te1 0.0000 0.0000 0.2325 1
Pt1 0.0000 0.0000 0.5000 1
# - DOS(E_F): 1.34 states/eV/f.u.
# - DFT total energy: -4.0451 eV per atom
# - Formation energy (no corrections): -279 meV per atom